Entry 1:
Computed, not measured: V2GaSn2 after structural relaxation at the PBE level of DFT.

a b c (Å): 9.8204 9.8204 6.7553
angles (deg): 90.00 90.00 146.76
Fractional positions:
V 0.0744 0.9256 0.9733
V 0.0920 0.4080 0.7500
V 0.4080 0.0920 0.2500
V 0.4256 0.5744 0.4733
V 0.5744 0.4256 0.5267
V 0.5920 0.9080 0.7500
V 0.9080 0.5920 0.2500
V 0.9256 0.0744 0.0267
Ga 0.2327 0.2673 0.7500
Ga 0.2673 0.2327 0.2500
Ga 0.7327 0.7673 0.7500
Ga 0.7673 0.7327 0.2500
Sn 0.1112 0.8888 0.5780
Sn 0.2221 0.7779 0.9230
Sn 0.2779 0.7221 0.4230
Sn 0.3888 0.6112 0.0780
Sn 0.6112 0.3888 0.9220
Sn 0.7221 0.2779 0.5770
Sn 0.7779 0.2221 0.0770
Sn 0.8888 0.1112 0.4220

The crystal system is orthorhombic. Its energy above the most stable polymorph in this dataset is 0 meV per atom. The electronic total energy comes out at -119.70 eV per cell.

---

Entry 2:
Computed, not measured: V2GaSn after structural relaxation at the PBE level of DFT.

a b c (Å): 9.9490 9.9490 9.9490
angles (deg): 157.73 157.73 31.70
Fractional positions:
V 0.1049 0.6250 0.9799
V 0.3750 0.3549 0.4799
V 0.6451 0.1250 0.0201
V 0.8750 0.8951 0.5201
Ga 0.0000 0.0000 0.0000
Ga 0.7500 0.2500 0.5000
Sn 0.2500 0.7500 0.5000
Sn 0.5000 0.5000 0.0000

The crystal system is tetragonal. The electronic total energy comes out at -46.97 eV per cell.

---

Entry 3:
Computed, not measured: VGa3Sn after structural relaxation at the PBE level of DFT.

a b c (Å): 4.8384 4.8384 4.8384
angles (deg): 90.00 90.00 90.00
Fractional positions:
V 0.0000 0.0000 0.0000
Ga 0.0000 0.0000 0.5000
Ga 0.0000 0.5000 0.0000
Ga 0.5000 0.0000 0.0000
Sn 0.5000 0.5000 0.5000

The crystal system is cubic. Its energy above the most stable polymorph in this dataset is 0 meV per atom. The electronic total energy comes out at -20.49 eV per cell.

---

Entry 4:
Computed, not measured: V2GaSn2 after structural relaxation at the PBE level of DFT.

a b c (Å): 6.6230 6.6230 4.1405
angles (deg): 90.00 90.00 90.00
Fractional positions:
V 0.1354 0.3646 0.0000
V 0.3646 0.8646 0.0000
V 0.6354 0.1354 0.0000
V 0.8646 0.6354 0.0000
Ga 0.0000 0.0000 0.0000
Ga 0.5000 0.5000 0.0000
Sn 0.1667 0.6667 0.5000
Sn 0.3333 0.1667 0.5000
Sn 0.6667 0.8333 0.5000
Sn 0.8333 0.3333 0.5000

The crystal system is tetragonal. Its energy above the most stable polymorph in this dataset is 173 meV per atom. The electronic total energy comes out at -58.12 eV per cell.

---

> Which value of electronic total energy does entry 1 give?

-119.70 eV per cell

---

> Number 2 is which compound?

V2GaSn

---

> What is the formula in the fourth record?

V2GaSn2